DFT (PBE-GGA) results for Hf2Al5Rh3 after structural relaxation.

Calculated values
Its symmetry is C2/c (15). The value obtained for the uncorrected energy is -6.811 eV per atom. The size of the total moment comes out at 0.0 μB per formula unit.

a = 7.699 Å, b = 7.699 Å, c = 5.654 Å
α = 98.62°, β = 98.62°, γ = 99.89°
Fractional positions:
1 Hf 0.107 0.668 0.915
2 Hf 0.332 0.893 0.585
3 Hf 0.668 0.107 0.415
4 Hf 0.893 0.332 0.085
5 Al 0.006 0.994 0.250
6 Al 0.228 0.540 0.363
7 Al 0.244 0.332 0.949
8 Al 0.332 0.244 0.449
9 Al 0.460 0.772 0.137
10 Al 0.540 0.228 0.863
11 Al 0.668 0.756 0.551
12 Al 0.756 0.668 0.051
13 Al 0.772 0.460 0.637
14 Al 0.994 0.006 0.750
15 Rh 0.031 0.309 0.557
16 Rh 0.309 0.031 0.057
17 Rh 0.448 0.552 0.750
18 Rh 0.552 0.448 0.250
19 Rh 0.691 0.969 0.943
20 Rh 0.969 0.691 0.443